Compound: CrGa2OF
Source: Alexandria
Functional: PBE with a Hubbard U
Structure: optimized geometry

a = 4.0005 Å, b = 4.0005 Å, c = 4.9607 Å
α = 90.00°, β = 90.00°, γ = 90.00°
Space group P4/mmm (No. 123)
Symmetry-distinct sites (fractional):
1 Cr 0.0000 0.0000 0.0000 [1 per cell]
2 Ga 0.0000 0.5000 0.5000 [2 per cell]
3 O 0.5000 0.5000 0.5000 [1 per cell]
4 F 0.5000 0.5000 0.0000 [1 per cell]

**Energy**: -3.7611 eV per atom
**Calculated volume**: 79 Å³ per cell